Record 1
Tb4ErRh2 | the Alexandria database | PBE | optimized geometry; crystal system = monoclinic; energy of formation = -3.26 eV per formula unit; total moment = 0.000 μB per atom; uncorrected energy = -5.864 eV/atom; theoretical density = 9.23 g/cm³
1.0
-1.366 -4.791 3.968
-5.159 -2.822 -5.183
7.259 -2.910 -1.014
Tb Er Rh
8 2 4
Direct
0.503 0.411 0.764 Tb
0.250 0.246 0.335 Tb
0.750 0.754 0.665 Tb
0.997 0.411 0.764 Tb
0.750 0.018 0.382 Tb
0.003 0.589 0.236 Tb
0.497 0.589 0.236 Tb
0.250 0.982 0.618 Tb
0.250 0.842 0.970 Er
0.750 0.158 0.030 Er
0.250 0.246 0.989 Rh
0.750 0.754 0.011 Rh
0.750 0.374 0.410 Rh
0.250 0.626 0.590 Rh

Record 2
PaAlSn2 | the Alexandria database | PBE | optimized geometry; crystal system = tetragonal; energy of formation = -0.31 eV per formula unit; total moment = 0.093 μB per atom; uncorrected energy = -5.389 eV/atom; excess energy over the best structure of this formula in the dataset = 0.205 eV/atom; theoretical density = 8.65 g/cm³
1.0
-3.292 0.810 -1.785
1.546 -1.072 -3.338
-2.039 -6.070 1.006
Pa Sn Al
1 2 1
Direct
0.500 0.500 0.500 Pa
0.000 0.000 0.774 Sn
0.000 0.000 0.226 Sn
0.500 0.500 0.000 Al

Record 3
AlReGe | the Alexandria database | PBE | optimized geometry; crystal system = hexagonal; energy of formation = 0.57 eV per formula unit; total moment = 0.000 μB per atom; uncorrected energy = -6.745 eV/atom; excess energy over the best structure of this formula in the dataset = 0.440 eV/atom; theoretical density = 10.17 g/cm³
1.0
-1.969 -1.911 -0.617
2.106 -0.970 -3.713
0.948 -2.167 3.684
Re Ge Al
1 1 1
Direct
0.167 0.333 0.667 Re
0.166 0.000 0.000 Ge
0.667 0.667 0.333 Al

Record 4
Pm4MgCo2 | the Alexandria database | PBE | optimized geometry; crystal system = triclinic; energy of formation = 0.37 eV per formula unit; total moment = 0.000 μB per atom; uncorrected energy = -4.919 eV/atom; excess energy over the best structure of this formula in the dataset = 0.053 eV/atom; theoretical density = 6.35 g/cm³
1.0
5.378 -0.002 -0.140
-2.691 5.349 0.068
-0.823 -0.004 13.159
Pm Mg Co
8 2 4
Direct
0.766 0.599 0.110 Pm
0.832 0.598 0.390 Pm
0.234 0.401 0.890 Pm
0.168 0.402 0.610 Pm
0.888 0.775 0.750 Pm
0.112 0.225 0.250 Pm
0.500 0.000 0.000 Pm
0.500 0.000 0.500 Pm
0.585 0.169 0.750 Mg
0.415 0.831 0.250 Mg
0.316 0.526 0.418 Co
0.790 0.474 0.918 Co
0.210 0.526 0.082 Co
0.684 0.474 0.582 Co

Record 5
ZrTcHg2 | the Alexandria database | PBE | optimized geometry; crystal system = trigonal; energy of formation = 1.47 eV per formula unit; total moment = 0.000 μB per atom; uncorrected energy = -4.512 eV/atom; excess energy over the best structure of this formula in the dataset = 0.288 eV/atom; theoretical density = 12.46 g/cm³
1.0
10.067 0.004 0.002
9.610 2.997 0.002
9.610 1.466 2.614
Hg Tc Zr
2 1 1
Direct
0.995 0.995 0.995 Hg
0.505 0.505 0.505 Hg
0.250 0.250 0.250 Tc
0.750 0.750 0.750 Zr

Record 6
Na2InAg | the Alexandria database | PBE | optimized geometry; crystal system = orthorhombic; energy of formation = -0.25 eV per formula unit; total moment = 0.000 μB per atom; uncorrected energy = -2.120 eV/atom; theoretical density = 4.29 g/cm³
1.0
5.680 0.000 0.000
0.000 6.242 0.064
0.000 -2.209 5.838
Na In Ag
4 2 2
Direct
0.750 0.998 0.619 Na
0.250 0.002 0.381 Na
0.250 0.381 0.002 Na
0.750 0.619 0.998 Na
0.750 0.152 0.152 In
0.250 0.848 0.848 In
0.000 0.500 0.500 Ag
0.500 0.500 0.500 Ag

Record 7
CeSn2Rh4 | the Alexandria database | PBE | optimized geometry; crystal system = orthorhombic; energy of formation = -3.82 eV per formula unit; total moment = 0.013 μB per atom; uncorrected energy = -6.738 eV/atom; excess energy over the best structure of this formula in the dataset = 0.000 eV/atom; theoretical density = 10.06 g/cm³
1.0
8.709 0.000 0.000
0.000 5.240 -2.425
0.000 -0.445 5.912
Ce Sn Rh
2 4 8
Direct
0.000 0.000 0.000 Ce
0.500 0.500 0.000 Ce
0.000 0.680 0.360 Sn
0.000 0.320 0.640 Sn
0.500 0.820 0.640 Sn
0.500 0.180 0.360 Sn
0.778 0.499 0.000 Rh
0.750 0.500 0.500 Rh
0.750 0.000 0.500 Rh
0.722 0.999 0.000 Rh
0.278 0.001 0.000 Rh
0.250 0.000 0.500 Rh
0.250 0.500 0.500 Rh
0.222 0.501 0.000 Rh

Record 8
Dy2Si3Os | the Alexandria database | PBE | optimized geometry; crystal system = orthorhombic; total moment = 0.000 μB per atom; uncorrected energy = -6.379 eV/atom; excess energy over the best structure of this formula in the dataset = 0.391 eV/atom; theoretical density = 8.28 g/cm³
1.0
4.234 0.000 0.000
0.000 5.524 0.000
-2.117 -2.762 5.140
Dy Si Os
2 3 1
Direct
0.685 0.185 0.370 Dy
0.315 0.815 0.630 Dy
0.379 0.379 0.758 Si
0.000 0.000 0.000 Si
0.621 0.621 0.242 Si
0.000 0.500 0.000 Os

Record 9
Sr2PaAlO6 | the Alexandria database | PBE | optimized geometry; crystal system = monoclinic; total moment = 0.000 μB per atom; uncorrected energy = -7.842 eV/atom; theoretical density = 6.45 g/cm³
1.0
5.784 0.000 -0.033
0.000 5.775 0.000
0.002 0.000 8.159
Sr Pa Al O
4 2 2 12
Direct
0.005 0.981 0.248 Sr
0.505 0.519 0.748 Sr
0.995 0.019 0.752 Sr
0.495 0.481 0.252 Sr
0.500 0.000 0.000 Pa
0.000 0.500 0.500 Pa
0.500 0.000 0.500 Al
0.000 0.500 0.000 Al
0.259 0.714 0.032 O
0.759 0.786 0.532 O
0.741 0.286 0.968 O
0.241 0.214 0.468 O
0.288 0.739 0.468 O
0.788 0.761 0.968 O
0.712 0.261 0.532 O
0.212 0.239 0.032 O
0.940 0.509 0.236 O
0.440 0.991 0.736 O
0.060 0.491 0.764 O
0.560 0.009 0.264 O

Record 10
Na2CaF4 | the Alexandria database | PBE | optimized geometry; crystal system = tetragonal; total moment = 0.018 μB per atom; uncorrected energy = -4.810 eV/atom; excess energy over the best structure of this formula in the dataset = 0.127 eV/atom; theoretical density = 2.25 g/cm³
1.0
4.409 0.000 0.000
0.000 4.409 0.000
2.205 2.205 6.155
Na Ca F
2 1 4
Direct
0.647 0.647 0.707 Na
0.353 0.353 0.293 Na
0.000 0.000 0.000 Ca
0.820 0.820 0.360 F
0.180 0.180 0.640 F
0.000 0.500 0.000 F
0.500 0.000 0.000 F

Record 11
AlZnClF2 | the Alexandria database | PBE | optimized geometry; crystal system = tetragonal; total moment = 0.000 μB per atom; uncorrected energy = -2.450 eV/atom; theoretical density = 2.31 g/cm³
1.0
5.382 0.000 0.000
0.000 4.110 0.000
0.000 0.000 5.382
Zn F Al Cl
1 2 1 1
Direct
0.000 0.500 0.000 Zn
0.000 0.000 0.500 F
0.500 0.000 0.000 F
0.500 0.500 0.500 Al
0.000 0.000 0.000 Cl

Record 12
Yb2O3 | the Alexandria database | PBE | optimized geometry; crystal system = cubic; total moment = 0.410 μB per atom; uncorrected energy = -6.379 eV/atom; theoretical density = 8.74 g/cm³
1.0
-7.979 -0.883 4.489
5.286 -7.340 1.669
4.310 7.599 2.875
Yb O
16 24
Direct
0.500 0.500 0.000 Yb
0.000 0.500 0.500 Yb
0.500 0.000 0.500 Yb
0.000 0.000 0.000 Yb
0.217 0.750 0.967 Yb
0.250 0.533 0.283 Yb
0.967 0.217 0.750 Yb
0.283 0.250 0.533 Yb
0.750 0.967 0.217 Yb
0.533 0.283 0.250 Yb
0.717 0.750 0.467 Yb
0.250 0.033 0.783 Yb
0.467 0.717 0.750 Yb
0.783 0.250 0.033 Yb
0.750 0.467 0.717 Yb
0.033 0.783 0.250 Yb
0.466 0.737 0.008 O
0.458 0.492 0.229 O
0.229 0.271 0.763 O
0.229 0.458 0.492 O
0.763 0.229 0.271 O
0.008 0.466 0.737 O
0.271 0.763 0.229 O
0.737 0.008 0.466 O
0.492 0.229 0.458 O
0.034 0.042 0.271 O
0.042 0.271 0.034 O
0.271 0.034 0.042 O
0.542 0.508 0.771 O
0.771 0.729 0.237 O
0.534 0.263 0.992 O
0.237 0.771 0.729 O
0.992 0.534 0.263 O
0.771 0.542 0.508 O
0.263 0.992 0.534 O
0.508 0.771 0.542 O
0.729 0.237 0.771 O
0.958 0.729 0.966 O
0.729 0.966 0.958 O
0.966 0.958 0.729 O

Record 13
CaGdSbPd | the Alexandria database | PBE | optimized geometry; crystal system = cubic; total moment = 1.743 μB per atom; uncorrected energy = -7.186 eV/atom; theoretical density = 7.08 g/cm³
1.0
-5.058 0.286 -1.202
-3.308 -3.603 1.786
-3.480 1.250 3.666
Sb Ca Gd Pd
1 1 1 1
Direct
0.250 0.250 0.250 Sb
0.000 0.000 0.000 Ca
0.500 0.500 0.500 Gd
0.750 0.750 0.750 Pd

Record 14
NbTcW | the Alexandria database | PBE | optimized geometry; crystal system = trigonal; energy of formation = -0.50 eV per formula unit; total moment = 0.000 μB per atom; uncorrected energy = -11.297 eV/atom; excess energy over the best structure of this formula in the dataset = 0.000 eV/atom; theoretical density = 12.79 g/cm³
1.0
4.497 0.000 0.000
-2.248 3.894 0.000
0.000 0.000 5.557
Nb Tc W
2 2 2
Direct
0.333 0.667 0.798 Nb
0.667 0.333 0.464 Nb
0.667 0.333 0.965 Tc
0.000 0.000 0.631 Tc
0.000 0.000 0.129 W
0.333 0.667 0.293 W

Record 15
YCo2Pt2 | the Alexandria database | PBE | optimized geometry; crystal system = tetragonal; energy of formation = -1.99 eV per formula unit; total moment = 0.714 μB per atom; uncorrected energy = -6.950 eV/atom; excess energy over the best structure of this formula in the dataset = 0.000 eV/atom; theoretical density = 11.81 g/cm³
1.0
4.016 0.000 0.000
0.000 4.016 0.000
2.008 2.008 5.206
Y Co Pt
1 2 2
Direct
0.000 0.000 0.000 Y
0.398 0.398 0.204 Co
0.602 0.602 0.796 Co
0.750 0.250 0.500 Pt
0.250 0.750 0.500 Pt

Record 16
MnTc2HRh | the Alexandria database | PBE | optimized geometry; crystal system = tetragonal; total moment = 0.000 μB per atom; uncorrected energy = -8.084 eV/atom; theoretical density = 10.47 g/cm³
1.0
-3.172 -1.687 1.405
2.051 -1.396 2.954
-0.768 3.113 2.004
H Mn Rh Tc
1 1 1 2
Direct
0.000 0.000 0.000 H
0.000 0.000 0.500 Mn
0.500 0.500 0.500 Rh
0.000 0.500 0.000 Tc
0.500 0.000 0.000 Tc

Record 17
Pr2IrAu | the Alexandria database | PBE | optimized geometry; crystal system = tetragonal; energy of formation = -2.60 eV per formula unit; total moment = 0.000 μB per atom; uncorrected energy = -6.074 eV/atom; theoretical density = 11.33 g/cm³
1.0
3.650 0.000 0.000
0.000 3.650 0.000
0.000 0.000 7.382
Pr Ir Au
2 1 1
Direct
0.000 0.000 0.768 Pr
0.000 0.000 0.232 Pr
0.500 0.500 0.000 Ir
0.500 0.500 0.500 Au

Record 18
AlBrCl2 | the Alexandria database | PBE | optimized geometry; crystal system = tetragonal; total moment = 0.000 μB per atom; uncorrected energy = -2.191 eV/atom; excess energy over the best structure of this formula in the dataset = 1.430 eV/atom; theoretical density = 3.49 g/cm³
1.0
5.127 -0.001 0.000
0.952 5.038 0.000
-3.040 -2.519 3.272
Al Br Cl
1 1 2
Direct
0.250 0.750 0.500 Al
0.750 0.250 0.500 Br
0.000 0.000 0.000 Cl
0.500 0.500 0.000 Cl

Record 19
Ba5Bi2AsO | the Alexandria database | PBE | optimized geometry; crystal system = orthorhombic; total moment = 0.000 μB per atom; uncorrected energy = -4.289 eV/atom; theoretical density = 5.34 g/cm³
1.0
-0.962 4.195 1.651
-9.403 -4.841 0.385
3.154 -4.975 14.474
Ba Bi As O
10 4 2 2
Direct
0.339 0.678 0.010 Ba
0.667 0.334 0.885 Ba
0.491 0.982 0.781 Ba
0.293 0.587 0.675 Ba
0.973 0.946 0.499 Ba
0.661 0.322 0.510 Ba
0.333 0.666 0.385 Ba
0.509 0.018 0.281 Ba
0.707 0.413 0.175 Ba
0.027 0.054 0.999 Ba
0.861 0.723 0.836 Bi
0.110 0.220 0.684 Bi
0.139 0.277 0.336 Bi
0.890 0.780 0.184 Bi
0.815 0.629 0.531 As
0.185 0.371 0.031 As
0.543 0.086 0.922 O
0.457 0.914 0.422 O

Record 20
Nd2YSc2 | the Alexandria database | PBE | optimized geometry; crystal system = orthorhombic; energy of formation = 0.64 eV per formula unit; total moment = 0.000 μB per atom; uncorrected energy = -5.604 eV/atom; excess energy over the best structure of this formula in the dataset = 0.000 eV/atom; theoretical density = 5.10 g/cm³
1.0
5.434 0.000 0.000
0.000 3.632 0.000
-2.717 -1.816 15.424
Nd Y Sc
4 2 4
Direct
0.723 0.973 0.446 Nd
0.277 0.027 0.554 Nd
0.380 0.130 0.761 Nd
0.620 0.870 0.239 Nd
0.837 0.587 0.674 Y
0.163 0.413 0.326 Y
0.536 0.286 0.072 Sc
0.954 0.204 0.907 Sc
0.464 0.714 0.928 Sc
0.046 0.796 0.093 Sc